Density functional theory data (PBE) for crystalline Rb3GaCl at its relaxed geometry.

POSCAR file:
```
Rb3GaCl
1.0
6.3775 0.0000 0.0000
0.0000 6.3775 0.0000
0.0000 0.0000 6.3775
Rb Cl Ga
3 1 1
Direct
0.0000 0.5000 0.0000
0.5000 0.0000 0.0000
0.0000 0.0000 0.5000
0.0000 0.0000 0.0000
0.5000 0.5000 0.5000
```

Properties
Energy relative to the elements, uncorrected = -547 meV per atom
E_tot = -2.102 eV per atom
E above lowest polymorph = 0.0 kJ per mole of atoms
Volume = 51.88 Å³ per atom